A relaxed TiNiO2F crystal, computed with GGA+U.

Results
- Fermi-level density of states: 4.716 states/eV/cell
- Magnetization: 1.3 Bohr magnetons per cell
- Space group: P4/mmm, No. 123
- E_tot: -31.072 eV/cell

```
data_TiNiO2F
_cell_length_a 3.8579
_cell_length_b 3.8579
_cell_length_c 3.9164
_cell_angle_alpha 90.00
_cell_angle_beta 90.00
_cell_angle_gamma 90.00
_symmetry_space_group_name_H-M 'P 1'
_symmetry_Int_Tables_number 1
_symmetry_space_group_name_Hall 'P 1'
loop_
_atom_site_label
_atom_site_type_symbol
_atom_site_fract_x
_atom_site_fract_y
_atom_site_fract_z
Ni1 Ni 0.5000 0.5000 0.5000
O1 O 0.5000 0.0000 0.0000
O2 O 0.0000 0.5000 0.0000
Ti1 Ti 0.0000 0.0000 0.0000
F1 F 0.0000 0.0000 0.5000
```